1.
## YEr4Zn (PBE)

Data for a geometry-optimized YEr4Zn structure.

## Properties
- M_tot (μB per formula unit) = 0.0
- density (g cm⁻³) = 8.09
- symmetry = P4/mmm (123)
- D(E_F) (states/eV/cell) = 7.84
- energy (eV/atom) = -4.4283

Lattice parameters (Å, degrees): 3.523 3.523 13.607 90.00 90.00 90.00
Sites, in units of the cell vectors:
Y 0.000 0.000 0.000
Er 0.000 0.000 0.370
Er 0.000 0.000 0.630
Er 0.500 0.500 0.185
Er 0.500 0.500 0.815
Zn 0.500 0.500 0.500



2.
## Y2ErZn9 (PBE)

Data for a geometry-optimized Y2ErZn9 structure.

## Properties
- M_tot (μB per formula unit) = 0.0
- density (g cm⁻³) = 7.08
- symmetry = R-3m (166)
- D(E_F) (states/eV/cell) = 6.54
- energy (eV/atom) = -2.7282

Lattice parameters (Å, degrees): 9.114 9.114 9.114 34.70 34.70 34.70
Sites, in units of the cell vectors:
Y 0.139 0.139 0.139
Y 0.861 0.861 0.861
Er 0.000 0.000 0.000
Zn 0.076 0.585 0.585
Zn 0.335 0.335 0.335
Zn 0.415 0.415 0.924
Zn 0.415 0.924 0.415
Zn 0.500 0.500 0.500
Zn 0.585 0.076 0.585
Zn 0.585 0.585 0.076
Zn 0.665 0.665 0.665
Zn 0.924 0.415 0.415



3.
## Y5ErZn6 (PBE)

Data for a geometry-optimized Y5ErZn6 structure.

## Properties
- M_tot (μB per formula unit) = 0.0
- density (g cm⁻³) = 6.09
- symmetry = Cmmm (65)
- D(E_F) (states/eV/cell) = 13.52
- energy (eV/atom) = -4.0689

Lattice parameters (Å, degrees): 7.990 7.990 7.159 90.00 90.00 143.16
Sites, in units of the cell vectors:
Y 0.000 0.000 0.000
Y 0.333 0.667 0.000
Y 0.334 0.666 0.500
Y 0.666 0.334 0.500
Y 0.667 0.333 0.000
Er 0.000 0.000 0.500
Zn 0.166 0.834 0.252
Zn 0.166 0.834 0.748
Zn 0.500 0.500 0.252
Zn 0.500 0.500 0.748
Zn 0.834 0.166 0.252
Zn 0.834 0.166 0.748



4.
## Y4Er3Zn (PBE)

Data for a geometry-optimized Y4Er3Zn structure.

## Properties
- M_tot (μB per formula unit) = 0.0
- density (g cm⁻³) = 6.51
- symmetry = P4/mmm (123)
- D(E_F) (states/eV/cell) = 10.66
- energy (eV/atom) = -5.1688

Lattice parameters (Å, degrees): 3.552 3.552 18.663 90.00 90.00 90.00
Sites, in units of the cell vectors:
Y 0.000 0.000 0.096
Y 0.000 0.000 0.366
Y 0.000 0.000 0.634
Y 0.000 0.000 0.904
Er 0.500 0.500 0.233
Er 0.500 0.500 0.500
Er 0.500 0.500 0.767
Zn 0.500 0.500 0.000



5.
## Y12Er2Zr (PBE)

Data for a geometry-optimized Y12Er2Zr structure.

## Properties
- M_tot (μB per formula unit) = 0.0
- density (g cm⁻³) = 4.92
- symmetry = P4/nbm (125)
- D(E_F) (states/eV/cell) = 43.75
- energy (eV/atom) = -5.9507

Lattice parameters (Å, degrees): 6.425 6.425 24.380 90.00 90.00 90.00
Sites, in units of the cell vectors:
Y 0.058 0.558 0.103
Y 0.058 0.942 0.897
Y 0.081 0.581 0.437
Y 0.081 0.919 0.563
Y 0.250 0.250 0.207
Y 0.250 0.250 0.334
Y 0.250 0.250 0.666
Y 0.250 0.250 0.793
Y 0.419 0.581 0.563
Y 0.419 0.919 0.437
Y 0.442 0.558 0.897
Y 0.442 0.942 0.103
Y 0.558 0.058 0.897
Y 0.558 0.442 0.103
Y 0.581 0.081 0.563
Y 0.581 0.419 0.437
Y 0.750 0.750 0.207
Y 0.750 0.750 0.334
Y 0.750 0.750 0.666
Y 0.750 0.750 0.793
Y 0.919 0.081 0.437
Y 0.919 0.419 0.563
Y 0.942 0.058 0.103
Y 0.942 0.442 0.897
Er 0.250 0.750 0.269
Er 0.250 0.750 0.731
Er 0.750 0.250 0.269
Er 0.750 0.250 0.731
Zr 0.250 0.750 0.000
Zr 0.750 0.250 0.000



6.
## Y3ErZr (PBE)

Data for a geometry-optimized Y3ErZr structure.

## Properties
- M_tot (μB per formula unit) = 0.0
- density (g cm⁻³) = 5.87
- symmetry = P-1 (2)
- D(E_F) (states/eV/cell) = 14.08
- energy (eV/atom) = -6.4279

Lattice parameters (Å, degrees): 3.466 9.220 9.854 74.22 89.98 79.24
Sites, in units of the cell vectors:
Y 0.003 0.497 0.246
Y 0.203 0.093 0.842
Y 0.393 0.713 0.457
Y 0.607 0.287 0.543
Y 0.797 0.907 0.158
Y 0.997 0.503 0.754
Er 0.397 0.709 0.938
Er 0.603 0.291 0.062
Zr 0.204 0.091 0.362
Zr 0.796 0.909 0.638